(1)
{"formula": "Ba2Hg", "functional": "PBEsol", "state": "optimized geometry", "magmom_total_mub_per_fu": 0.0, "formation_energy_ev_per_fu": -0.9, "dos_ef_per_ev_fu": 2.90, "lattice_angstrom": [[-8.1112, -1.4977, 0.6591], [0.8215, -0.8449, 8.1903], [-1.4151, 8.0940, 0.9769]], "species": ["Ba", "Ba", "Ba", "Hg", "Hg", "Ba", "Hg", "Ba", "Hg", "Ba", "Ba", "Ba"], "frac_coords": [[0.1605, 0.6605, 0.8395], [0.8395, 0.1605, 0.6605], [0.1605, 0.8395, 0.3395], [0.0000, 0.5000, 0.5000], [0.5000, 0.0000, 0.5000], [0.3395, 0.3395, 0.3395], [0.0000, 0.0000, 0.0000], [0.6605, 0.6605, 0.6605], [0.5000, 0.5000, 0.0000], [0.8395, 0.3395, 0.1605], [0.3395, 0.1605, 0.8395], [0.6605, 0.8395, 0.1605]]}

---

(2)
{"formula": "BaHg3", "functional": "PBEsol", "state": "optimized geometry", "magmom_total_mub_per_fu": 0.0, "formation_energy_ev_per_fu": -1.6, "dos_ef_per_ev_fu": 2.27, "lattice_angstrom": [[-3.5501, 2.5956, 2.0178], [-3.2716, -2.4960, -2.5454], [2.7430, -6.7005, 7.6440]], "species": ["Hg", "Hg", "Hg", "Ba", "Hg", "Hg", "Hg", "Ba"], "frac_coords": [[0.8972, 0.8972, 0.7943], [0.7500, 0.2500, 0.5000], [0.2500, 0.7500, 0.5000], [0.3701, 0.3701, 0.7403], [0.5000, 0.0000, 0.0000], [0.1028, 0.1028, 0.2057], [0.0000, 0.5000, 0.0000], [0.6299, 0.6299, 0.2597]]}